# BeWOF2 GGA+U relaxed
data_BeWOF2
_chemical_formula_sum 'Be1 W1 O1 F2'
_symmetry_space_group_name_H-M 'P 1'
_symmetry_Int_Tables_number 1
_cell_length_a 4.291
_cell_length_b 4.291
_cell_length_c 4.016
_cell_angle_alpha 90.00
_cell_angle_beta 90.00
_cell_angle_gamma 90.00
loop_
_symmetry_equiv_pos_as_xyz
'x,y,z'
loop_
_atom_site_label
_atom_site_type_symbol
_atom_site_fract_x
_atom_site_fract_y
_atom_site_fract_z
_atom_site_occupancy
Be1 Be 0.500 0.500 0.500 1
O1 O 0.000 0.000 0.500 1
W1 W 0.000 0.000 0.000 1
F1 F 0.000 0.500 0.000 1
F2 F 0.500 0.000 0.000 1
# **Theoretical density**: 5544 kg/m3
# **DOS(E_F)**: 1.48 states/eV per cell
# **E_tot**: -4.9611 eV/atom